(1)
Density functional theory data (GGA-PBE) for a geometry-optimized HfTl2Ru2 structure.

abc: 8.866 8.866 8.866
angles: 157.02 157.02 32.73
Sites, in units of the cell vectors:
Hf (0.000, 0.000, 0.000)
Tl (0.387, 0.387, 0.000)
Tl (0.613, 0.613, 0.000)
Ru (0.250, 0.750, 0.500)
Ru (0.750, 0.250, 0.500)

Crystal system: tetragonal
ρ (g cm⁻³): 12.3
Formation energy from the elements (meV per atom): 694.9
Magnetization (Bohr magnetons per cell): 0.0


(2)
Density functional theory data (GGA-PBE) for a geometry-optimized HfTlRu3 structure.

abc: 4.821 4.821 4.821
angles: 90.00 90.00 90.00
Sites, in units of the cell vectors:
Hf (0.000, 0.000, 0.000)
Tl (0.500, 0.500, 0.500)
Ru (0.000, 0.500, 0.500)
Ru (0.500, 0.000, 0.500)
Ru (0.500, 0.500, 0.000)

Crystal system: cubic
ρ (g cm⁻³): 10.2
Formation energy from the elements (meV per atom): 1903.7
Magnetization (Bohr magnetons per cell): 0.0


(3)
Density functional theory data (GGA-PBE) for a geometry-optimized HfTlRu3 structure.

abc: 4.816 4.816 4.816
angles: 90.00 90.00 90.00
Sites, in units of the cell vectors:
Hf (0.000, 0.000, 0.000)
Tl (0.500, 0.500, 0.500)
Ru (0.000, 0.000, 0.500)
Ru (0.000, 0.500, 0.000)
Ru (0.500, 0.000, 0.000)

Crystal system: cubic
ρ (g cm⁻³): 10.2
Formation energy from the elements (meV per atom): 1359.4
Magnetization (Bohr magnetons per cell): 3.0


(4)
Density functional theory data (GGA-PBE) for a geometry-optimized Hf2TlRu structure.

abc: 3.172 3.172 7.995
angles: 90.00 90.00 90.00
Sites, in units of the cell vectors:
Hf (0.000, 0.000, 0.207)
Hf (0.000, 0.000, 0.793)
Tl (0.500, 0.500, 0.500)
Ru (0.500, 0.500, 0.000)

Crystal system: tetragonal
ρ (g cm⁻³): 13.7
Formation energy from the elements (meV per atom): -282.5
Magnetization (Bohr magnetons per cell): 0.0


(5)
Density functional theory data (GGA-PBE) for a geometry-optimized TmHf2Ru structure.

abc: 3.276 3.276 7.919
angles: 90.00 90.00 90.00
Sites, in units of the cell vectors:
Tm (0.000, 0.000, 0.000)
Hf (0.500, 0.500, 0.299)
Hf (0.500, 0.500, 0.701)
Ru (0.000, 0.000, 0.500)

Crystal system: tetragonal
ρ (g cm⁻³): 12.2
Formation energy from the elements (meV per atom): -224.7
Magnetization (Bohr magnetons per cell): 0.0


(6)
Density functional theory data (GGA-PBE) for a geometry-optimized TmHf4Ru5 structure.

abc: 3.257 3.257 16.429
angles: 90.00 90.00 90.00
Sites, in units of the cell vectors:
Tm (0.000, 0.000, 0.000)
Hf (0.000, 0.000, 0.202)
Hf (0.000, 0.000, 0.401)
Hf (0.000, 0.000, 0.599)
Hf (0.000, 0.000, 0.798)
Ru (0.500, 0.500, 0.110)
Ru (0.500, 0.500, 0.305)
Ru (0.500, 0.500, 0.500)
Ru (0.500, 0.500, 0.695)
Ru (0.500, 0.500, 0.890)

Crystal system: tetragonal
ρ (g cm⁻³): 13.2
Formation energy from the elements (meV per atom): -771.6
Magnetization (Bohr magnetons per cell): 0.0


(7)
Density functional theory data (GGA-PBE) for a geometry-optimized TmHfRu4 structure.

abc: 5.241 5.241 5.241
angles: 60.00 60.00 60.00
Sites, in units of the cell vectors:
Tm (0.000, 0.000, 0.000)
Hf (0.250, 0.250, 0.250)
Ru (0.126, 0.625, 0.625)
Ru (0.625, 0.126, 0.625)
Ru (0.625, 0.625, 0.126)
Ru (0.625, 0.625, 0.625)

Crystal system: cubic
ρ (g cm⁻³): 12.3
Formation energy from the elements (meV per atom): -343.4
Magnetization (Bohr magnetons per cell): 0.0


(8)
Density functional theory data (GGA-PBE) for a geometry-optimized TmHfRu structure.

abc: 6.154 6.154 6.154
angles: 148.77 148.77 44.75
Sites, in units of the cell vectors:
Tm (0.000, 0.000, 0.000)
Hf (0.286, 0.286, 0.000)
Ru (0.660, 0.660, 0.000)

Crystal system: tetragonal
ρ (g cm⁻³): 11.9
Formation energy from the elements (meV per atom): -356.7
Magnetization (Bohr magnetons per cell): 1.1


(9)
Density functional theory data (GGA-PBE) for a geometry-optimized TmHf3Ru4 structure.

abc: 8.025 8.025 8.025
angles: 33.42 33.42 33.42
Sites, in units of the cell vectors:
Tm (0.000, 0.000, 0.000)
Hf (0.249, 0.249, 0.249)
Hf (0.500, 0.500, 0.500)
Hf (0.751, 0.751, 0.751)
Ru (0.127, 0.127, 0.127)
Ru (0.378, 0.378, 0.378)
Ru (0.622, 0.622, 0.622)
Ru (0.873, 0.873, 0.873)

Crystal system: trigonal
ρ (g cm⁻³): 13.2
Formation energy from the elements (meV per atom): -745.2
Magnetization (Bohr magnetons per cell): 0.0


(10)
Density functional theory data (GGA-PBE) for a geometry-optimized Tm3HfRu4 structure.

abc: 3.314 3.314 13.360
angles: 90.00 90.00 90.00
Sites, in units of the cell vectors:
Tm (0.000, 0.000, 0.000)
Tm (0.000, 0.000, 0.252)
Tm (0.000, 0.000, 0.748)
Hf (0.000, 0.000, 0.500)
Ru (0.500, 0.500, 0.127)
Ru (0.500, 0.500, 0.385)
Ru (0.500, 0.500, 0.615)
Ru (0.500, 0.500, 0.873)

Crystal system: tetragonal
ρ (g cm⁻³): 12.3
Formation energy from the elements (meV per atom): -535.0
Magnetization (Bohr magnetons per cell): 0.0


(11)
Density functional theory data (GGA-PBE) for a geometry-optimized HfURu4 structure.

abc: 5.250 5.250 5.250
angles: 60.00 60.00 60.00
Sites, in units of the cell vectors:
Hf (0.000, 0.000, 0.000)
U (0.250, 0.250, 0.250)
Ru (0.124, 0.625, 0.625)
Ru (0.625, 0.124, 0.625)
Ru (0.625, 0.625, 0.124)
Ru (0.625, 0.625, 0.625)

Crystal system: cubic
ρ (g cm⁻³): 13.3
Formation energy from the elements (meV per atom): -165.7
Magnetization (Bohr magnetons per cell): 2.1


(12)
Density functional theory data (GGA-PBE) for a geometry-optimized HfV3Ru structure.

abc: 4.545 4.545 4.545
angles: 90.00 90.00 90.00
Sites, in units of the cell vectors:
Hf (0.000, 0.000, 0.000)
V (0.000, 0.500, 0.500)
V (0.500, 0.000, 0.500)
V (0.500, 0.500, 0.000)
Ru (0.500, 0.500, 0.500)

Crystal system: cubic
ρ (g cm⁻³): 7.6
Formation energy from the elements (meV per atom): 801.6
Magnetization (Bohr magnetons per cell): 2.9


(13)
Density functional theory data (GGA-PBE) for a geometry-optimized Hf3VRu structure.

abc: 4.943 4.943 4.943
angles: 90.00 90.00 90.00
Sites, in units of the cell vectors:
Hf (0.000, 0.000, 0.500)
Hf (0.000, 0.500, 0.000)
Hf (0.500, 0.000, 0.000)
V (0.500, 0.500, 0.500)
Ru (0.000, 0.000, 0.000)

Crystal system: cubic
ρ (g cm⁻³): 9.5
Formation energy from the elements (meV per atom): 621.1
Magnetization (Bohr magnetons per cell): 2.8


(14)
Density functional theory data (GGA-PBE) for a geometry-optimized HfV3Ru structure.

abc: 4.556 4.556 4.556
angles: 90.00 90.00 90.00
Sites, in units of the cell vectors:
Hf (0.000, 0.000, 0.000)
V (0.000, 0.000, 0.500)
V (0.000, 0.500, 0.000)
V (0.500, 0.000, 0.000)
Ru (0.500, 0.500, 0.500)

Crystal system: cubic
ρ (g cm⁻³): 7.6
Formation energy from the elements (meV per atom): 1901.8
Magnetization (Bohr magnetons per cell): 2.3